1.
Entry from the Alexandria database: an optimized crystal structure of CoHgAu2 (PBE).

Cell lengths 3.9111, 3.9111, 19.6491 Å; angles 90.00, 90.00, 90.00 degrees
Last column: nearest neighbours and their distance in Å.
Space group I-42d (No. 122)
Inequivalent atoms, fractional coordinates:
Co1 0.0000 0.0000 0.0000  4 Hg 2.77, 4 Au 2.81
Hg1 0.0000 0.0000 0.5000  4 Co 2.77, 4 Au 2.83
Au1 0.2419 0.2500 0.1250  4 Au 2.72-2.81, 2 Co 2.81, 2 Hg 2.83

Summary:
volume	18.8	Å³/atom
raw total energy	-3.051	eV per atom
formation energy from the elements	0.440	eV/atom
DOS at the Fermi energy	1.470	states/eV/atom

=====

2.
Entry from the Alexandria database: an optimized crystal structure of CoHgAu2 (PBE).

Cell lengths 2.9725, 4.8611, 9.6631 Å; angles 90.00, 90.00, 90.00 degrees
Last column: nearest neighbours and their distance in Å.
Space group Imm2 (No. 44)
Inequivalent atoms, fractional coordinates:
Co1 0.0000 0.0000 0.0000  6 Au 2.63-2.85, 2 Hg 2.71
Hg1 0.0000 0.5000 0.2653  2 Co 2.71, 6 Au 2.88-3.02, 2 Hg 2.97
Au1 0.0000 0.0000 0.4931  4 Co 2.85, 4 Au 2.97-2.99, 2 Hg 3.02
Au2 0.0000 0.5000 0.7250  2 Co 2.63, 4 Hg 2.88

Summary:
volume	17.5	Å³/atom
raw total energy	-3.196	eV per atom
formation energy from the elements	0.295	eV/atom
DOS at the Fermi energy	1.082	states/eV/atom